Compound: MgV2Mo2
Source: Alexandria
Functional: PBE
Structure: optimized geometry

It has space group P4/mbm (No. 127), with a = 7.2132 Å, b = 7.2132 Å, c = 3.0747 Å, α = 90.00°, β = 90.00° and γ = 90.00°. The asymmetric unit holds Mg at (0.0000, 0.0000, 0.0000), V at (0.1359, 0.3641, 0.0000) and Mo at (0.1624, 0.6624, 0.5000).

The volume comes out at 16.00 A^3/atom. The energy of formation from the pure elements is 0.32 eV per atom.

***

Compound: MgV2Mo
Source: Alexandria
Functional: PBE
Structure: optimized geometry

It has space group I-42d (No. 122), with a = 7.0051 Å, b = 7.0051 Å, c = 5.4085 Å, α = 90.00°, β = 90.00° and γ = 90.00°. The asymmetric unit holds Mg at (0.0000, 0.0000, 0.0000), V at (0.2209, 0.2500, 0.6250) and Mo at (0.0000, 0.0000, 0.5000).

The volume comes out at 16.59 A^3/atom. The energy of formation from the pure elements is 0.75 eV per atom.

***

Compound: Mg6VMo
Source: Alexandria
Functional: PBE
Structure: optimized geometry

It has space group Amm2 (No. 38), with a = 4.7503 Å, b = 5.9513 Å, c = 10.9907 Å, α = 90.00°, β = 90.00° and γ = 90.00°. The asymmetric unit holds Mg at (0.0000, 0.0000, 0.0000), Mg at (0.0000, 0.2397, 0.2495), Mg at (0.5000, 0.0000, 0.8440), Mg at (0.5000, 0.2421, 0.5966), V at (0.0000, 0.0000, 0.4770) and Mo at (0.5000, 0.0000, 0.3665).

The offset from the most stable computed form comes out at 0.0 meV/atom. The volume comes out at 19.42 A^3/atom. The energy of formation from the pure elements is 0.24 eV per atom.

***

Compound: Mg2VMo
Source: Alexandria
Functional: PBE
Structure: optimized geometry

It has space group Fm-3m (No. 225), with a = 6.5846 Å, b = 6.5846 Å, c = 6.5846 Å, α = 90.00°, β = 90.00° and γ = 90.00°. The asymmetric unit holds Mg at (0.2500, 0.2500, 0.2500), V at (0.0000, 0.0000, 0.0000) and Mo at (0.0000, 0.0000, 0.5000).

The offset from the most stable computed form comes out at 0.0 meV/atom. The volume comes out at 17.84 A^3/atom. The energy of formation from the pure elements is 0.62 eV per atom.